A relaxed WSeO5 crystal. Source: Alexandria, functional GGA+U.

Cell and atoms, written as POSCAR:
```
WSeO5
1.0
-4.355 -3.184 -1.268
2.740 0.616 -4.796
3.167 -5.117 5.127
Se O W
2 10 2
Cartesian
0.641 -2.548 -2.432
0.662 -5.718 1.806
1.831 -3.531 0.848
1.681 -0.571 -3.880
4.374 -3.435 -0.258
-0.631 -5.120 0.734
-0.085 -3.862 -1.675
-2.704 -4.002 -0.820
2.243 -2.456 -1.654
-0.148 -1.149 -1.659
-0.058 -7.026 2.578
1.727 -6.486 0.599
2.660 0.550 -4.782
2.888 -2.295 0.229
```

Results
V ... 103 Å³/f.u.
DOS(E_F) ... 0.00 states/eV/cell
Symmetry ... P1
DFT total energy ... -6.45 eV/atom
Magnetic moment ... 0.0 μB per cell